No. 1
Density functional theory data (PBE) for a relaxed KLi2La crystal.

Calculated values
ΔH_f (0 K), meV per atom: 421
Crystal system: orthorhombic
DOS at the Fermi energy, states/eV/cell: 8.75
Density, g/cm3: 2.19

a b c (Å): 3.7581 6.6509 11.6373
angles (deg): 90.00 90.00 90.00
With the nearest neighbours (Å) after each atom.
Fractional coordinates of all 8 atoms:
K: 0.0000 0.0000 0.0000  4 Li 3.51, 2 K 3.76, 4 La 3.82
K: 0.5000 0.5000 0.5000  4 Li 3.51, 2 K 3.76, 4 La 3.82
Li: 0.0000 0.5000 0.2450  2 La 3.41, 2 K 3.51, 6 Li 3.76-3.82
Li: 0.0000 0.5000 0.7550  2 La 3.41, 2 K 3.51, 6 Li 3.76-3.82
Li: 0.5000 0.0000 0.2550  2 La 3.41, 2 K 3.51, 6 Li 3.76-3.82
Li: 0.5000 0.0000 0.7450  2 La 3.41, 2 K 3.51, 6 Li 3.76-3.82
La: 0.0000 0.0000 0.5000  4 Li 3.41, 2 La 3.76, 4 K 3.82
La: 0.5000 0.5000 0.0000  4 Li 3.41, 2 La 3.76, 4 K 3.82

=====

No. 2
Density functional theory data (PBE) for a relaxed SrSm3 crystal.

Calculated values
ΔH_f (0 K), meV per atom: 165
Crystal system: tetragonal
DOS at the Fermi energy, states/eV/cell: 14.22
Density, g/cm3: 6.05

a b c (Å): 5.2928 5.2928 10.5526
angles (deg): 90.00 90.00 90.00
With the nearest neighbours (Å) after each atom.
Fractional coordinates of all 8 atoms:
Sr: 0.0000 0.0000 0.0000  12 Sm 3.74
Sr: 0.5000 0.5000 0.5000  12 Sm 3.74
Sm: 0.0000 0.0000 0.5000  8 Sm 3.74, 4 Sr 3.74
Sm: 0.0000 0.5000 0.2500  4 Sr 3.74, 8 Sm 3.74
Sm: 0.0000 0.5000 0.7500  8 Sm 3.74, 4 Sr 3.74
Sm: 0.5000 0.0000 0.2500  4 Sr 3.74, 8 Sm 3.74
Sm: 0.5000 0.0000 0.7500  8 Sm 3.74, 4 Sr 3.74
Sm: 0.5000 0.5000 0.0000  8 Sm 3.74, 4 Sr 3.74

=====

No. 3
Density functional theory data (PBE) for a relaxed Y2NiAg crystal.

Calculated values
ΔH_f (0 K), meV per atom: 45
Crystal system: tetragonal
DOS at the Fermi energy, states/eV/cell: 14.88
Density, g/cm3: 5.88

a b c (Å): 7.5823 7.5823 6.7717
angles (deg): 90.00 90.00 90.00
With the nearest neighbours (Å) after each atom.
Fractional coordinates of all 16 atoms:
Y: 0.2137 0.7500 0.1250  2 Ni 2.63
Y: 0.2500 0.2137 0.8750  2 Ni 2.63
Y: 0.2500 0.2863 0.3750  2 Ni 2.63
Y: 0.2863 0.7500 0.6250  2 Ni 2.63
Y: 0.7137 0.2500 0.6250  2 Ni 2.63
Y: 0.7500 0.7137 0.3750  2 Ni 2.63
Y: 0.7500 0.7863 0.8750  2 Ni 2.63
Y: 0.7863 0.2500 0.1250  2 Ni 2.63
Ni: 0.0000 0.0000 0.0000  4 Y 2.63
Ni: 0.0000 0.5000 0.2500  4 Y 2.63
Ni: 0.5000 0.0000 0.7500  4 Y 2.63
Ni: 0.5000 0.5000 0.5000  4 Y 2.63
Ag: 0.0000 0.0000 0.5000  4 Y 3.00
Ag: 0.0000 0.5000 0.7500  4 Y 3.00
Ag: 0.5000 0.0000 0.2500  4 Y 3.00
Ag: 0.5000 0.5000 0.0000  4 Y 3.00

=====

No. 4
Density functional theory data (PBE) for a relaxed Sm3DyBi3 crystal.

Calculated values
ΔH_f (0 K), meV per atom: -698
Crystal system: trigonal
Energy above the most stable polymorph in this dataset, eV/f.u.: 0.604
DOS at the Fermi energy, states/eV/cell: 10.40
Density, g/cm3: 8.71

a b c (Å): 8.3199 8.3199 8.3199
angles (deg): 67.55 67.55 67.55
With the nearest neighbours (Å) after each atom.
Fractional coordinates of all 14 atoms:
Sm: 0.0866 0.3412 0.8240  5 Bi 3.18-3.40
Sm: 0.1760 0.9134 0.6589  5 Bi 3.18-3.40
Sm: 0.3412 0.8240 0.0866  5 Bi 3.18-3.40
Sm: 0.6589 0.1760 0.9134  5 Bi 3.18-3.40
Sm: 0.8240 0.0866 0.3412  5 Bi 3.18-3.40
Sm: 0.9134 0.6589 0.1760  5 Bi 3.18-3.40
Dy: 0.3330 0.3330 0.3330  6 Bi 3.24-3.28
Dy: 0.6670 0.6670 0.6670  6 Bi 3.24-3.28
Bi: 0.0793 0.6928 0.4740  5 Sm 3.18-3.40, 2 Dy 3.24-3.28
Bi: 0.3072 0.5260 0.9207  5 Sm 3.18-3.40, 2 Dy 3.24-3.28
Bi: 0.4740 0.0793 0.6928  5 Sm 3.18-3.40, 2 Dy 3.24-3.28
Bi: 0.5260 0.9207 0.3072  5 Sm 3.18-3.40, 2 Dy 3.24-3.28
Bi: 0.6928 0.4740 0.0793  5 Sm 3.18-3.40, 2 Dy 3.24-3.28
Bi: 0.9207 0.3072 0.5260  5 Sm 3.18-3.40, 2 Dy 3.24-3.28